Record 1
{
  "formula": "Li3Mn2Si2O8",
  "functional": "meta-GGA SCAN",
  "state": "single point on PBEsol structure",
  "de_polymorph_kj_per_mol_fu": 0.0,
  "crystal_system": "triclinic",
  "space_group": "No. 1",
  "cell": [[6.604, 0.006, 0.006], [-0.027, 7.066, -0.036], [-0.194, -0.980, 7.091]],
  "species": ["Si", "Si", "Si", "Si", "Mn", "Mn", "Mn", "Mn", "O", "O", "O", "O", "O", "O", "O", "O", "O", "O", "O", "O", "O", "O", "O", "O", "Li", "Li", "Li", "Li", "Li", "Li"],
  "frac_coords": [[0.763, 0.686, 0.341], [0.745, 0.158, 0.842], [0.238, 0.083, 0.405], [0.250, 0.594, 0.920], [0.999, 0.876, 0.050], [0.488, 0.349, 0.176], [0.961, 0.429, 0.606], [0.522, 0.799, 0.633], [0.966, 0.048, 0.855], [0.962, 0.550, 0.362], [0.765, 0.856, 0.524], [0.733, 0.298, 0.043], [0.732, 0.280, 0.667], [0.753, 0.769, 0.142], [0.548, 0.006, 0.833], [0.543, 0.581, 0.389], [0.444, 0.123, 0.296], [0.421, 0.606, 0.764], [0.211, 0.267, 0.573], [0.270, 0.768, 0.099], [0.254, 0.892, 0.513], [0.246, 0.390, 0.004], [0.043, 0.072, 0.252], [0.027, 0.652, 0.830], [0.015, 0.851, 0.653], [0.993, 0.321, 0.157], [0.489, 0.383, 0.586], [0.521, 0.921, 0.097], [0.237, 0.159, 0.812], [0.236, 0.667, 0.334]]
}

=====

Record 2
{
  "formula": "Li3Mn2Si2O8",
  "functional": "meta-GGA SCAN",
  "state": "single point on PBEsol structure",
  "de_polymorph_kj_per_mol_fu": 21.9,
  "crystal_system": "monoclinic",
  "n_ef_per_ev_cell": 8.278,
  "space_group": "No. 4",
  "cell": [[-0.622, 4.552, -1.837], [0.182, -2.363, -5.792], [-10.486, -1.345, 0.220]],
  "species": ["Li", "Li", "Li", "Li", "Li", "Li", "Mn", "Mn", "Mn", "Mn", "Si", "Si", "Si", "Si", "O", "O", "O", "O", "O", "O", "O", "O", "O", "O", "O", "O", "O", "O", "O", "O"],
  "frac_coords": [[0.429, 0.761, 0.087], [0.571, 0.239, 0.587], [0.078, 0.241, 0.918], [0.936, 0.257, 0.411], [0.922, 0.759, 0.418], [0.064, 0.743, 0.911], [0.560, 0.482, 0.846], [0.440, 0.518, 0.346], [0.077, 0.980, 0.654], [0.923, 0.020, 0.154], [0.917, 0.515, 0.170], [0.083, 0.485, 0.670], [0.421, 0.012, 0.328], [0.579, 0.988, 0.828], [0.004, 0.699, 0.591], [0.028, 0.730, 0.094], [0.587, 0.533, 0.181], [0.964, 0.490, 0.816], [0.036, 0.510, 0.316], [0.413, 0.467, 0.681], [0.996, 0.301, 0.091], [0.972, 0.270, 0.594], [0.470, 0.203, 0.901], [0.531, 0.229, 0.402], [0.534, 0.007, 0.182], [0.088, 0.011, 0.331], [0.466, 0.993, 0.682], [0.912, 0.989, 0.831], [0.530, 0.797, 0.401], [0.469, 0.771, 0.902]]
}

=====

Record 3
{
  "formula": "Li2MnSi2O6",
  "functional": "meta-GGA SCAN",
  "state": "single point on PBEsol structure",
  "crystal_system": "monoclinic",
  "n_ef_per_ev_cell": 0.000,
  "space_group": "No. 15",
  "cell": [[5.624, 0.021, -0.010], [-2.664, 4.954, -0.010], [-0.099, -0.166, 9.266]],
  "species": ["Li", "Li", "Li", "Li", "Mn", "Mn", "Si", "Si", "Si", "Si", "O", "O", "O", "O", "O", "O", "O", "O", "O", "O", "O", "O"],
  "frac_coords": [[0.723, 0.403, 0.381], [0.403, 0.723, 0.881], [0.597, 0.277, 0.119], [0.277, 0.597, 0.619], [0.253, 0.747, 0.250], [0.747, 0.253, 0.750], [0.798, 0.864, 0.133], [0.864, 0.798, 0.633], [0.136, 0.202, 0.367], [0.202, 0.136, 0.867], [0.853, 0.631, 0.205], [0.631, 0.853, 0.705], [0.488, 0.764, 0.084], [0.764, 0.488, 0.584], [0.880, 0.120, 0.250], [0.000, 0.000, 0.000], [0.120, 0.880, 0.750], [0.000, 0.000, 0.500], [0.236, 0.512, 0.416], [0.512, 0.236, 0.916], [0.369, 0.147, 0.295], [0.147, 0.369, 0.795]]
}

=====

Summary of calculated total energy in eV/atom
-10.097 -10.082 -9.980
(order as listed above)